one:
Computed, not measured: crystalline TlZnAs2 at its relaxed geometry at the PBE-GGA level of DFT.

```
4
Lattice="-0.0435 3.3374 -3.7194 -2.4053 -3.1231 -3.0716 -1.8034 1.1131 4.5258" Properties=species:S:1:pos:R:3 pbc="T T T"
As 0.0000 0.0000 0.0000
As -2.7165 -0.9514 -0.9706
Tl -1.2244 0.1071 -3.3955
Zn -1.5356 2.2788 -1.2945
```

## Properties
The crystal system is tetragonal. The mass density is 8.1 g cm⁻³. The total moment comes out at 0.0 μB per cell.


two:
Computed, not measured: crystalline TlZnAs2 at its relaxed geometry at the PBE-GGA level of DFT.

```
4
Lattice="7.6833 -0.2148 -0.1282 6.8452 3.4960 -0.1282 6.8452 1.5460 3.1382" Properties=species:S:1:pos:R:3 pbc="T T T"
As 21.3269 4.8167 2.8755
As 5.6857 1.2841 0.7666
Tl 10.6329 2.4014 1.4336
Zn 15.7885 3.5658 2.1287
```

## Properties
The crystal system is trigonal. The mass density is 7.5 g cm⁻³. The total moment comes out at 0.0 μB per cell.


three:
Computed, not measured: crystalline TlZnAs2 at its relaxed geometry at the PBE-GGA level of DFT.

```
4
Lattice="-3.7555 0.6445 2.7372 -4.5528 -0.9875 -0.5549 -1.1407 -5.4053 2.9559" Properties=species:S:1:pos:R:3 pbc="T T T"
As -0.0498 -0.0611 0.0424
As -7.0443 -4.8117 4.0914
Tl -4.6612 -2.7673 2.5008
Zn -2.4181 -0.9824 1.0726
```

## Properties
The crystal system is monoclinic. The mass density is 7.3 g cm⁻³. The total moment comes out at 0.0 μB per cell.


two wins, 0.055 eV/atom ahead of the next structure.


one:
Computed, not measured: crystalline TlZnAs2 at its relaxed geometry at the PBE-GGA level of DFT.

```
4
Lattice="-1.3440 1.2757 5.6778 -1.5786 -4.7986 3.1863 4.3642 2.5983 -3.1423" Properties=species:S:1:pos:R:3 pbc="T T T"
As -2.8502 -3.4356 8.6443
As 0.6277 0.8734 3.9440
Tl -1.4722 -1.7746 4.4651
Zn 0.7523 -1.8722 1.9645
```

## Properties
The crystal system is orthorhombic. The mass density is 7.1 g cm⁻³. The total moment comes out at 0.0 μB per cell.


two:
Computed, not measured: crystalline TlZnAs2 at its relaxed geometry at the PBE-GGA level of DFT.

```
4
Lattice="-1.0551 0.7113 3.4367 -2.8582 -0.6221 -0.7488 -0.2122 -8.2437 1.6410" Properties=species:S:1:pos:R:3 pbc="T T T"
As -0.7328 -8.2945 1.4917
As -0.7858 -1.4170 2.0059
Tl -1.3630 -4.5180 0.5166
Zn -2.9913 -6.6014 2.4018
```

## Properties
The crystal system is monoclinic. The mass density is 7.6 g cm⁻³. The total moment comes out at 0.0 μB per cell.


three:
Computed, not measured: crystalline TlZnAs2 at its relaxed geometry at the PBE-GGA level of DFT.

```
4
Lattice="-1.5087 3.5770 0.3790 -3.5958 -1.5068 -0.0933 0.0934 -0.5841 5.8855" Properties=species:S:1:pos:R:3 pbc="T T T"
As 0.0000 0.0000 0.0000
As -2.5523 1.0351 0.1428
Tl -2.5056 0.7431 3.0856
Zn 0.0467 -0.2921 2.9427
```

## Properties
The crystal system is tetragonal. The mass density is 7.7 g cm⁻³. The total moment comes out at 0.0 μB per cell.


two wins, 0.026 eV/atom ahead of the next structure.


one:
Computed, not measured: crystalline TlZnAs2 at its relaxed geometry at the PBE-GGA level of DFT.

```
4
Lattice="6.4671 0.1277 0.0000 3.9770 5.1013 0.0000 -5.2221 -2.6145 2.7811" Properties=species:S:1:pos:R:3 pbc="T T T"
As 0.0000 0.0000 0.0000
As 5.2221 2.6145 0.0000
Tl 1.9885 2.5506 1.3905
Zn 3.2336 0.0638 1.3905
```

## Properties
The crystal system is tetragonal. The mass density is 7.7 g cm⁻³. The total moment comes out at 0.0 μB per cell.


two:
Computed, not measured: crystalline TlZnAs2 at its relaxed geometry at the PBE-GGA level of DFT.

```
4
Lattice="-3.3754 -1.5144 -0.9021 -0.3273 -1.6497 3.9941 -2.8140 4.0470 3.7357" Properties=species:S:1:pos:R:3 pbc="T T T"
As -2.5890 3.7170 3.4477
As -1.7957 1.5286 4.1530
Tl -2.4730 -0.1579 1.4814
Zn -4.0437 1.0408 5.3463
```

## Properties
The crystal system is monoclinic. The mass density is 7.3 g cm⁻³. The total moment comes out at 0.0 μB per cell.


two wins, 0.247 eV/atom ahead of the next structure.


one:
Computed, not measured: crystalline TlZnAs2 at its relaxed geometry at the PBE-GGA level of DFT.

```
4
Lattice="5.6824 0.0558 0.0063 -2.7057 4.9972 0.0063 0.2953 0.5012 3.0311" Properties=species:S:1:pos:R:3 pbc="T T T"
As 0.0000 0.0000 0.0000
As 1.4884 2.5265 0.0063
Tl 2.9888 0.2785 1.5187
Zn -1.2052 2.7492 1.5187
```

## Properties
The crystal system is monoclinic. The mass density is 8.1 g cm⁻³. The total moment comes out at 0.0 μB per cell.


two:
Computed, not measured: crystalline TlZnAs2 at its relaxed geometry at the PBE-GGA level of DFT.

```
4
Lattice="-4.2475 2.9183 3.0090 -4.2854 -3.3126 2.5049 5.7593 1.5226 -0.3519" Properties=species:S:1:pos:R:3 pbc="T T T"
As -0.3413 -0.0158 0.2205
As -3.9252 -0.1814 2.5364
Tl -1.3773 2.1219 2.7070
Zn -1.3962 -0.9935 2.4550
```

## Properties
The crystal system is orthorhombic. The mass density is 8.0 g cm⁻³. The total moment comes out at 0.0 μB per cell.


two wins, 0.078 eV/atom ahead of the next structure.


one:
Computed, not measured: crystalline TlZnAs2 at its relaxed geometry at the PBE-GGA level of DFT.

```
4
Lattice="3.2853 -0.0050 0.0000 -1.2465 3.0396 0.0000 0.0000 0.0000 9.0305" Properties=species:S:1:pos:R:3 pbc="T T T"
As 0.0000 0.0000 0.0311
As 1.0194 1.5173 1.8890
Tl 0.0000 0.0000 4.5748
Zn 1.0194 1.5173 7.0508
```

## Properties
The crystal system is orthorhombic. The mass density is 7.7 g cm⁻³. The total moment comes out at 0.0 μB per cell.


two:
Computed, not measured: crystalline TlZnAs2 at its relaxed geometry at the PBE-GGA level of DFT.

```
4
Lattice="0.0000 3.5074 3.5074 3.5074 0.0000 3.5074 3.5074 3.5074 0.0000" Properties=species:S:1:pos:R:3 pbc="T T T"
Zn 0.0000 0.0000 0.0000
Tl 3.5074 3.5074 3.5074
As 1.7537 1.7537 1.7537
As 5.2611 5.2611 5.2611
```

## Properties
The crystal system is cubic. The mass density is 8.1 g cm⁻³. The total moment comes out at 0.0 μB per cell.


one wins, 0.086 eV/atom ahead of the next structure.


one:
Computed, not measured: crystalline TlZn3As at its relaxed geometry at the PBE-GGA level of DFT.

```
5
Lattice="-1.7527 -1.8237 -4.3304 -1.2009 -4.2945 2.2946 -4.5427 1.8389 1.0642" Properties=species:S:1:pos:R:3 pbc="T T T"
Zn -0.6005 -2.1472 1.1473
Zn -2.2713 0.9195 0.5321
Zn -0.8763 -0.9118 -2.1652
Tl -3.7481 -2.1396 -0.4858
As 0.0000 0.0000 0.0000
```

## Properties
The crystal system is cubic. The mass density is 6.3 g cm⁻³. The total moment comes out at 0.0 μB per cell.


two:
Computed, not measured: crystalline TlZn3As at its relaxed geometry at the PBE-GGA level of DFT.

```
5
Lattice="5.1454 0.0000 0.0000 0.0000 5.1454 0.0000 0.0000 0.0000 5.1454" Properties=species:S:1:pos:R:3 pbc="T T T"
Zn 0.0000 2.5727 0.0000
Zn 0.0000 0.0000 2.5727
Zn 2.5727 0.0000 0.0000
Tl 0.0000 0.0000 0.0000
As 2.5727 2.5727 2.5727
```

## Properties
The crystal system is cubic. The mass density is 5.8 g cm⁻³. The total moment comes out at 1.5 μB per cell.


one wins, 0.513 eV/atom ahead of the next structure.